a:
DFT (GGA-PBE) results for a relaxed TaNb2H3 crystal.

Properties
**Theoretical density**: 9.8 g/cm3
**Density of states at the Fermi level**: 2.54 states/eV per cell
**Symmetry**: No. 59

The structure in extended XYZ format:
```
12
Lattice="3.474 0.000 0.000 0.000 10.343 0.000 0.000 0.000 3.471" Properties=species:S:1:pos:R:3 pbc="T T T"
Ta 0.868 2.586 0.790
Ta 2.605 7.757 2.681
Nb 0.868 6.039 0.921
Nb 0.868 9.475 0.921
Nb 2.605 0.868 2.550
Nb 2.605 4.304 2.550
H 0.868 0.828 3.431
H 0.868 4.343 3.431
H 0.868 7.757 1.822
H 2.605 2.586 1.649
H 2.605 6.000 0.040
H 2.605 9.514 0.040
```

---

b:
DFT (GGA-PBE) results for a relaxed TaNb2H3 crystal.

Properties
**Theoretical density**: 9.4 g/cm3
**Density of states at the Fermi level**: 4.13 states/eV per cell
**Symmetry**: No. 36

The structure in extended XYZ format:
```
12
Lattice="4.283 -2.790 0.000 4.283 2.790 0.000 0.000 0.000 5.454" Properties=species:S:1:pos:R:3 pbc="T T T"
Ta 4.283 1.961 2.727
Ta 4.283 -1.961 0.000
Nb 2.868 0.831 0.006
Nb 2.868 -0.831 2.733
Nb 5.698 0.831 0.006
Nb 5.698 -0.831 2.733
H 4.283 1.884 4.626
H 2.856 0.932 1.921
H 2.856 -0.932 4.648
H 5.711 0.932 1.921
H 5.711 -0.932 4.648
H 4.283 -1.884 1.899
```

---

Verdict on stability: a comes out on top.